The following is a GGA-PBEsol calculation of a geometry-optimized YSbRu2 structure, from the Alexandria database.

Crystal system   cubic
Calculated volume   73 Å³/cell
Energy   -7.737 eV/atom
ΔE_f (raw)   0.19 eV/atom
Total moment   2.28 μB/f.u.

Cell lengths 4.684, 4.684, 4.684 Å; angles 60.00, 60.00, 60.00 degrees
Site moments in Bohr magnetons follow the coordinates.
Sites, in units of the cell vectors:
Ru  0.000  0.000  0.000  1.24
Ru  0.750  0.750  0.750  0.79
Sb  0.500  0.500  0.500  0.03
Y  0.250  0.250  0.250  0.08



The following is a GGA-PBEsol calculation of a geometry-optimized K2Cd2S3O12 structure, from the Alexandria database.

Crystal system   orthorhombic
Calculated volume   1068 Å³/cell
Energy   -5.852 eV/atom
ΔE_f (raw)   -1.60 eV/atom
Total moment   0.00 μB/f.u.
Energy above the lowest structure with this stoichiometry   0 meV per atom

Cell lengths 10.183, 10.200, 10.284 Å; angles 90.00, 90.00, 90.00 degrees
Sites, in units of the cell vectors:
K  0.420  0.556  0.064
K  0.080  0.444  0.564
K  0.783  0.313  0.189
K  0.920  0.944  0.936
K  0.717  0.686  0.689
K  0.283  0.187  0.811
K  0.217  0.813  0.311
K  0.580  0.056  0.436
Cd  0.447  0.417  0.408
Cd  0.553  0.917  0.092
Cd  0.947  0.083  0.592
Cd  0.053  0.583  0.908
Cd  0.356  0.822  0.661
Cd  0.856  0.678  0.339
Cd  0.144  0.178  0.161
Cd  0.644  0.322  0.839
S  0.748  0.617  0.035
S  0.252  0.117  0.465
S  0.248  0.883  0.965
S  0.752  0.383  0.535
S  0.137  0.500  0.243
S  0.863  0.000  0.257
S  0.637  0.000  0.758
S  0.363  0.500  0.743
S  0.962  0.277  0.879
S  0.538  0.723  0.379
S  0.462  0.223  0.121
S  0.038  0.777  0.621
O  0.849  0.674  0.946
O  0.151  0.174  0.554
O  0.349  0.826  0.054
O  0.651  0.326  0.446
O  0.681  0.504  0.974
O  0.319  0.004  0.526
O  0.181  0.996  0.026
O  0.819  0.496  0.474
O  0.648  0.718  0.066
O  0.352  0.218  0.434
O  0.148  0.782  0.934
O  0.852  0.282  0.566
O  0.814  0.570  0.156
O  0.186  0.070  0.344
O  0.314  0.930  0.844
O  0.686  0.430  0.656
O  0.078  0.369  0.261
O  0.922  0.869  0.239
O  0.062  0.596  0.323
O  0.578  0.131  0.739
O  0.275  0.504  0.291
O  0.725  0.004  0.209
O  0.775  0.996  0.709
O  0.225  0.496  0.791
O  0.141  0.542  0.105
O  0.859  0.042  0.395
O  0.641  0.958  0.895
O  0.359  0.458  0.605
O  0.447  0.711  0.490
O  0.553  0.211  0.010
O  0.947  0.789  0.510
O  0.053  0.289  0.990
O  0.671  0.761  0.426
O  0.329  0.261  0.074
O  0.171  0.739  0.574
O  0.829  0.239  0.926
O  0.488  0.826  0.290
O  0.512  0.326  0.210
O  0.988  0.674  0.710
O  0.012  0.174  0.790
O  0.545  0.593  0.313
O  0.455  0.093  0.187
O  0.045  0.907  0.687
O  0.955  0.407  0.813
O  0.438  0.404  0.823
O  0.562  0.904  0.677
O  0.938  0.096  0.177
O  0.422  0.631  0.761



The following is a GGA-PBEsol calculation of a geometry-optimized Zr3C structure, from the Alexandria database.

Crystal system   trigonal
Calculated volume   73 Å³/cell
ΔE_f   -0.442 eV/atom
Energy   -9.671 eV/atom
Total moment   0.00 μB/f.u.
Energy above the lowest structure with this stoichiometry   0 meV per atom

Cell lengths 3.241, 3.241, 8.211 Å; angles 78.62, 78.62, 60.00 degrees
Sites, in units of the cell vectors:
C  0.000  0.000  0.000
Zr  0.721  0.721  0.837
Zr  0.500  0.500  0.500
Zr  0.279  0.279  0.163



The following is a GGA-PBEsol calculation of a geometry-optimized CaHf3Rh structure, from the Alexandria database.

Crystal system   cubic
Calculated volume   126 Å³/cell
ΔE_f   0.218 eV/atom
Energy   -8.138 eV/atom
Total moment   0.00 μB/f.u.

Cell lengths 5.011, 5.011, 5.011 Å; angles 90.00, 90.00, 90.00 degrees
Sites, in units of the cell vectors:
Rh  0.000  0.000  0.000
Ca  0.500  0.500  0.500
Hf  0.000  0.500  0.000
Hf  0.000  0.000  0.500
Hf  0.500  0.000  0.000



The following is a GGA-PBEsol calculation of a geometry-optimized Ca2PH structure, from the Alexandria database.

Crystal system   tetragonal
Calculated volume   196 Å³/cell
Energy   -3.931 eV/atom
Total moment   0.00 μB/f.u.
Energy above the lowest structure with this stoichiometry   208 meV per atom

Cell lengths 5.494, 5.494, 7.569 Å; angles 111.28, 111.28, 90.00 degrees
Sites, in units of the cell vectors:
P  0.250  0.750  0.500
P  0.000  0.000  0.000
Ca  0.418  0.875  0.250
Ca  0.832  0.375  0.250
Ca  0.125  0.168  0.750
Ca  0.625  0.582  0.750
H  0.750  0.250  0.500
H  0.500  0.500  0.000



The following is a GGA-PBEsol calculation of a geometry-optimized AlCuHg2 structure, from the Alexandria database.

Crystal system   orthorhombic
Calculated volume   70 Å³/cell
ΔE_f   0.151 eV/atom
Energy   -2.239 eV/atom
Total moment   0.00 μB/f.u.

Cell lengths 3.197, 3.861, 5.703 Å; angles 90.00, 90.00, 90.00 degrees
Sites, in units of the cell vectors:
Hg  0.000  0.000  0.744
Hg  0.000  0.000  0.256
Cu  0.500  0.500  0.500
Al  0.500  0.500  0.000



The following is a GGA-PBEsol calculation of a geometry-optimized BeInW3 structure, from the Alexandria database.

Crystal system   cubic
Calculated volume   78 Å³/cell
ΔE_f   0.940 eV/atom
Energy   -8.741 eV/atom
Total moment   0.00 μB/f.u.

Cell lengths 4.270, 4.270, 4.270 Å; angles 90.00, 90.00, 90.00 degrees
Sites, in units of the cell vectors:
Be  0.000  0.000  0.000
W  0.000  0.500  0.000
W  0.000  0.000  0.500
W  0.500  0.000  0.000
In  0.500  0.500  0.500



The following is a GGA-PBEsol calculation of a geometry-optimized Sc2FeP structure, from the Alexandria database.

Crystal system   tetragonal
Calculated volume   62 Å³/cell
ΔE_f   -0.491 eV/atom
Energy   -7.482 eV/atom
Total moment   1.04 μB/f.u.

Cell lengths 3.716, 3.716, 5.197 Å; angles 110.95, 110.95, 90.00 degrees
Site moments in Bohr magnetons follow the coordinates.
Sites, in units of the cell vectors:
Fe  0.500  0.500  0.000  1.53
P  0.250  0.750  0.500  0.04
Sc  0.000  0.000  0.000  -0.25
Sc  0.750  0.250  0.500  -0.15



The following is a GGA-PBEsol calculation of a geometry-optimized Zn2FeOs structure, from the Alexandria database.

Crystal system   tetragonal
Calculated volume   51 Å³/cell
ΔE_f   0.200 eV/atom
Energy   -5.886 eV/atom
Total moment   2.54 μB/f.u.
Energy above the lowest structure with this stoichiometry   167 meV per atom

Cell lengths 3.857, 4.397, 3.857 Å; angles 63.99, 90.00, 116.01 degrees
Site moments in Bohr magnetons follow the coordinates.
Sites, in units of the cell vectors:
Fe  0.500  0.000  0.500  2.24
Os  0.750  0.500  0.750  0.33
Zn  0.000  0.000  0.000  -0.01
Zn  0.250  0.500  0.250  -0.02



The following is a GGA-PBEsol calculation of a geometry-optimized Mn2Pb3 structure, from the Alexandria database.

Crystal system   trigonal
Calculated volume   112 Å³/cell
ΔE_f   0.477 eV/atom
Energy   -5.827 eV/atom
Total moment   6.41 μB/f.u.

Cell lengths 4.726, 4.726, 5.807 Å; angles 90.00, 90.00, 120.00 degrees
Site moments in Bohr magnetons follow the coordinates.
Sites, in units of the cell vectors:
Mn  0.333  0.667  0.895  3.22
Mn  0.667  0.333  0.105  3.22
Pb  0.000  0.000  0.000  -0.08
Pb  0.333  0.667  0.369  -0.06
Pb  0.667  0.333  0.631  -0.06



The following is a GGA-PBEsol calculation of a geometry-optimized KRbH3 structure, from the Alexandria database.

Crystal system   cubic
Calculated volume   127 Å³/cell
Energy   -1.935 eV/atom
Total moment   1.00 μB/f.u.

Cell lengths 5.028, 5.028, 5.028 Å; angles 90.00, 90.00, 90.00 degrees
Site moments in Bohr magnetons follow the coordinates.
Sites, in units of the cell vectors:
H  0.000  0.500  0.000  0.12
H  0.000  0.000  0.500  0.12
H  0.500  0.000  0.000  0.12
K  0.500  0.500  0.500  0.00
Rb  0.000  0.000  0.000  0.07



The following is a GGA-PBEsol calculation of a geometry-optimized Mn3BPd structure, from the Alexandria database.

Crystal system   cubic
Calculated volume   60 Å³/cell
ΔE_f   0.199 eV/atom
Energy   -8.252 eV/atom
Total moment   7.73 μB/f.u.

Cell lengths 3.904, 3.904, 3.904 Å; angles 90.00, 90.00, 90.00 degrees
Site moments in Bohr magnetons follow the coordinates.
Sites, in units of the cell vectors:
B  0.000  0.000  0.000  -0.22
Mn  0.000  0.500  0.000  2.55
Mn  0.000  0.000  0.500  2.55
Mn  0.500  0.000  0.000  2.55
Pd  0.500  0.500  0.500  0.18



The following is a GGA-PBEsol calculation of a geometry-optimized ScP structure, from the Alexandria database.

Crystal system   cubic
Calculated volume   36 Å³/cell
ΔE_f   -1.529 eV/atom
Energy   -7.727 eV/atom
Total moment   0.00 μB/f.u.

Cell lengths 3.711, 3.711, 3.711 Å; angles 60.00, 60.00, 60.00 degrees
Sites, in units of the cell vectors:
Sc  0.500  0.500  0.500
P  0.000  0.000  0.000